Record 1
VASP calculation (GGA-PBE) on an optimized crystal structure of PrHo14Sc. Values from VASP.

Calculated density (Mg/m³): 8.41
Energy of formation from the pure elements (eV per atom): 0.02
Calculated total energy (eV per atom): -4.68

Geometry as Quantum ESPRESSO input:
```
&SYSTEM
  ibrav = 0, nat = 16, ntyp = 3
/
ATOMIC_SPECIES
Pr 140.91 Pr.upf
Ho 164.93 Ho.upf
Sc 44.96 Sc.upf
CELL_PARAMETERS angstrom
7.042 0.000 0.000
0.000 7.042 0.000
0.000 0.000 9.934
ATOMIC_POSITIONS crystal
Pr 0.000 0.000 0.000
Ho 0.000 0.000 0.500
Ho 0.000 0.500 0.000
Ho 0.000 0.500 0.500
Ho 0.253 0.253 0.249
Ho 0.253 0.253 0.751
Ho 0.253 0.747 0.249
Ho 0.253 0.747 0.751
Ho 0.500 0.000 0.000
Ho 0.500 0.000 0.500
Ho 0.500 0.500 0.500
Ho 0.747 0.253 0.249
Ho 0.747 0.253 0.751
Ho 0.747 0.747 0.249
Ho 0.747 0.747 0.751
Sc 0.500 0.500 0.000
```

***

Record 2
VASP calculation (GGA-PBE) on an optimized crystal structure of Pr3Ho8Sc2. Values from VASP.

Calculated density (Mg/m³): 7.18
Energy of formation from the pure elements (eV per atom): 0.25
Calculated total energy (eV per atom): -4.64

Geometry as Quantum ESPRESSO input:
```
&SYSTEM
  ibrav = 0, nat = 13, ntyp = 3
/
ATOMIC_SPECIES
Pr 140.91 Pr.upf
Ho 164.93 Ho.upf
Sc 44.96 Sc.upf
CELL_PARAMETERS angstrom
9.776 -3.877 0.000
9.776 3.877 0.000
-0.005 0.000 5.586
ATOMIC_POSITIONS crystal
Pr 0.000 0.000 0.000
Pr 0.295 0.705 0.500
Pr 0.705 0.295 0.500
Ho 0.137 0.137 0.500
Ho 0.177 0.593 0.999
Ho 0.321 0.321 0.499
Ho 0.407 0.823 0.001
Ho 0.593 0.177 0.999
Ho 0.679 0.679 0.501
Ho 0.823 0.407 0.001
Ho 0.863 0.863 0.500
Sc 0.240 0.240 0.998
Sc 0.760 0.760 0.002
```

***

- Number 2 is which compound?
  Pr3Ho8Sc2

***

- Which of these has the highest calculated total energy?
  Pr3Ho8Sc2